[1]
! Pm2PrTmSe5 GGA-PBE optimized geometry; values from VASP
! final energy = -47.86 eV for the cell shown
! ΔE_f (raw) = -1.298 eV/atom
! space-group type = No. 123
! V = 31.64 Å³/atom
! spin magnetization = 0.00 Bohr magnetons per cell
&SYSTEM
  ibrav = 0, nat = 9, ntyp = 4
/
ATOMIC_SPECIES
Pm 145.00 Pm.upf
Pr 140.91 Pr.upf
Tm 168.93 Tm.upf
Se 78.96 Se.upf
CELL_PARAMETERS angstrom
5.0855 0.0000 0.0000
0.0000 5.0855 0.0000
0.0000 0.0000 11.0106
ATOMIC_POSITIONS angstrom
Pm 0.0000 0.0000 1.8378
Pm 0.0000 0.0000 9.1728
Pr 2.5427 2.5427 5.5053
Tm 2.5427 2.5427 0.0000
Se 0.0000 0.0000 5.5053
Se 0.0000 2.5427 0.0000
Se 2.5427 0.0000 0.0000
Se 2.5427 2.5427 2.7173
Se 2.5427 2.5427 8.2933

=====

[2]
! PmPr4TmSe8 GGA-PBE optimized geometry; values from VASP
! final energy = -80.32 eV for the cell shown
! ΔE_f (raw) = -1.722 eV/atom
! space-group type = No. 160
! V = 33.00 Å³/atom
! spin magnetization = 0.72 Bohr magnetons per cell
&SYSTEM
  ibrav = 0, nat = 14, ntyp = 4
/
ATOMIC_SPECIES
Pm 145.00 Pm.upf
Pr 140.91 Pr.upf
Tm 168.93 Tm.upf
Se 78.96 Se.upf
CELL_PARAMETERS angstrom
4.3416 2.5066 7.0758
-4.3416 2.5066 7.0758
0.0000 -5.0133 7.0758
ATOMIC_POSITIONS angstrom
Pm 0.0000 0.0000 0.0000
Pr 0.0000 -2.4464 3.4566
Pr -2.1186 1.2232 3.4566
Pr 2.1186 1.2232 3.4566
Pr 0.0000 0.0000 13.1977
Tm 0.0000 0.0000 7.9055
Se -2.3387 -1.3502 12.2846
Se 0.0000 -2.5579 8.7678
Se -2.2152 1.2789 8.7678
Se 0.0000 0.0000 5.2188
Se 2.2152 1.2789 8.7678
Se 0.0000 0.0000 16.0375
Se 2.3387 -1.3502 12.2846
Se 0.0000 2.7005 12.2846

=====

[3]
! PmPr4Tm3Se8 GGA-PBE optimized geometry; values from VASP
! final energy = -93.60 eV for the cell shown
! ΔE_f (raw) = -1.778 eV/atom
! space-group type = No. 166
! V = 25.59 Å³/atom
! spin magnetization = 0.00 Bohr magnetons per cell
&SYSTEM
  ibrav = 0, nat = 16, ntyp = 4
/
ATOMIC_SPECIES
Pm 145.00 Pm.upf
Pr 140.91 Pr.upf
Tm 168.93 Tm.upf
Se 78.96 Se.upf
CELL_PARAMETERS angstrom
4.1077 2.3716 7.0035
-4.1077 2.3716 7.0035
0.0000 -4.7432 7.0035
ATOMIC_POSITIONS angstrom
Pm 0.0000 0.0000 0.0000
Pr -4.1077 0.0000 10.5052
Pr -2.0539 1.1858 3.5017
Pr 2.0539 1.1858 3.5017
Pr 0.0000 0.0000 10.5052
Tm -2.0539 -1.1858 7.0035
Tm -2.0539 1.1858 14.0070
Tm 0.0000 2.3716 7.0035
Se 0.0000 -2.3131 8.6223
Se -2.0032 1.1565 8.6223
Se 0.0000 0.0000 5.4209
Se -2.0032 -1.1565 12.3882
Se 2.0032 1.1565 8.6223
Se 0.0000 0.0000 15.5896
Se 2.0032 -1.1565 12.3882
Se 0.0000 2.3131 12.3882

=====

What did the third record say?
! PmPr4Tm3Se8 GGA-PBE optimized geometry; values from VASP
! final energy = -93.60 eV for the cell shown
! ΔE_f (raw) = -1.778 eV/atom
! space-group type = No. 166
! V = 25.59 Å³/atom
! spin magnetization = 0.00 Bohr magnetons per cell
&SYSTEM
  ibrav = 0, nat = 16, ntyp = 4
/
ATOMIC_SPECIES
Pm 145.00 Pm.upf
Pr 140.91 Pr.upf
Tm 168.93 Tm.upf
Se 78.96 Se.upf
CELL_PARAMETERS angstrom
4.1077 2.3716 7.0035
-4.1077 2.3716 7.0035
0.0000 -4.7432 7.0035
ATOMIC_POSITIONS angstrom
Pm 0.0000 0.0000 0.0000
Pr -4.1077 0.0000 10.5052
Pr -2.0539 1.1858 3.5017
Pr 2.0539 1.1858 3.5017
Pr 0.0000 0.0000 10.5052
Tm -2.0539 -1.1858 7.0035
Tm -2.0539 1.1858 14.0070
Tm 0.0000 2.3716 7.0035
Se 0.0000 -2.3131 8.6223
Se -2.0032 1.1565 8.6223
Se 0.0000 0.0000 5.4209
Se -2.0032 -1.1565 12.3882
Se 2.0032 1.1565 8.6223
Se 0.0000 0.0000 15.5896
Se 2.0032 -1.1565 12.3882
Se 0.0000 2.3131 12.3882

=====

Which value of spin magnetization does entry 1 give?
0.00 Bohr magnetons per cell

=====

Which formula does entry 3 have?
PmPr4Tm3Se8

=====

The highest ΔE_f (raw) belongs to which entry?
Pm2PrTmSe5